No. 1
Material: TaSiPbSe2
Method: DFT, PBE-GGA
State: relaxed

Cell: 4.8945 5.8973 4.8945 Å, 90.00 90.00 90.00°
Fractional coordinates of all 5 atoms:
Si1 0.5000 0.5000 0.5000
Pb1 0.0000 0.5000 0.0000
Se1 0.5000 0.0000 0.0000
Se2 0.0000 0.0000 0.5000
Ta1 0.0000 0.0000 0.0000

Its space group is P4/mmm. Its raw formation energy is 0.46 eV per atom. The value obtained for the energy is -5.128 eV per atom.

=====

No. 2
Material: Th4SiPb2Se
Method: DFT, PBE-GGA
State: relaxed

Cell: 4.4102 7.7036 7.5892 Å, 70.64 90.00 90.00°
Fractional coordinates of all 8 atoms:
Th1 0.0000 0.7287 0.7491
Th2 0.0000 0.2713 0.2509
Th3 0.5000 0.2750 0.7348
Th4 0.5000 0.7250 0.2652
Se1 0.5000 0.5000 0.0000
Si1 0.0000 0.5000 0.5000
Pb1 0.5000 0.0000 0.5000
Pb2 0.0000 0.0000 0.0000

Its space group is P2/m. Its raw formation energy is -0.68 eV per atom. The value obtained for the energy is -6.431 eV per atom.

=====

No. 3
Material: Th6Si2PbSe3
Method: DFT, PBE-GGA
State: relaxed

Cell: 4.3272 8.5695 9.5540 Å, 101.28 103.09 90.00°
Fractional coordinates of all 12 atoms:
Se1 0.8389 0.1658 0.6777
Se2 0.5000 0.5000 0.0000
Se3 0.1611 0.8342 0.3223
Th1 0.3265 0.8972 0.6529
Th2 0.6735 0.1028 0.3471
Th3 0.0071 0.2686 0.0142
Th4 0.9929 0.7314 0.9858
Th5 0.6701 0.5758 0.3402
Th6 0.3299 0.4242 0.6598
Pb1 0.5000 0.0000 0.0000
Si1 0.1683 0.3358 0.3366
Si2 0.8317 0.6642 0.6634

Its space group is C2/m. Its raw formation energy is -1.06 eV per atom. The value obtained for the energy is -6.859 eV per atom.

=====

No. 4
Material: Tl2SiPbSe4
Method: DFT, PBE-GGA
State: relaxed

Cell: 8.5410 8.5410 9.1235 Å, 122.29 122.29 90.32°
Fractional coordinates of all 16 atoms:
Se1 0.2481 0.2518 0.0591
Se2 0.2143 0.7820 0.9981
Se3 0.7858 0.2180 0.0019
Se4 0.7519 0.7482 0.9409
Se5 0.7518 0.7481 0.5591
Se6 0.2482 0.2519 0.4409
Se7 0.7180 0.2857 0.5019
Se8 0.2820 0.7143 0.4981
Si1 0.5000 0.5000 0.5000
Si2 0.0000 0.0000 0.0000
Pb1 0.0000 0.5000 0.5000
Pb2 0.0000 0.5000 0.0000
Tl1 0.5000 0.0000 0.0000
Tl2 0.5000 0.0000 0.5000
Tl3 0.0000 0.0000 0.5000
Tl4 0.5000 0.5000 0.0000

Its space group is Imma. Its raw formation energy is -0.25 eV per atom. The value obtained for the energy is -3.729 eV per atom.

=====

No. 5
Material: Tm4SiPbSe2
Method: DFT, PBE-GGA
State: relaxed

Cell: 4.0814 7.2120 7.2619 Å, 70.99 90.00 90.00°
Fractional coordinates of all 8 atoms:
Se1 0.5000 0.0000 0.5000
Se2 0.0000 0.0000 0.0000
Tm1 0.5000 0.7395 0.2656
Tm2 0.0000 0.2485 0.2669
Tm3 0.0000 0.7515 0.7331
Tm4 0.5000 0.2605 0.7344
Pb1 0.5000 0.5000 0.0000
Si1 0.0000 0.5000 0.5000

Its space group is P2/m. Its raw formation energy is -1.13 eV per atom. The value obtained for the energy is -5.375 eV per atom.

=====

No. 6
Material: Tm6Si2PbSe3
Method: DFT, PBE-GGA
State: relaxed

Cell: 4.0777 8.3361 9.2325 Å, 103.13 102.76 90.00°
Fractional coordinates of all 12 atoms:
Tm1 0.6717 0.1022 0.3434
Tm2 0.3274 0.4260 0.6548
Tm3 0.3283 0.8978 0.6566
Tm4 0.9945 0.7354 0.9889
Tm5 0.0055 0.2646 0.0111
Tm6 0.6726 0.5740 0.3452
Si1 0.8333 0.6649 0.6666
Si2 0.1667 0.3351 0.3334
Se1 0.1654 0.8321 0.3308
Se2 0.5000 0.5000 0.0000
Se3 0.8346 0.1679 0.6692
Pb1 0.5000 0.0000 0.0000

Its space group is C2/m. Its raw formation energy is -1.18 eV per atom. The value obtained for the energy is -5.498 eV per atom.

=====

no.,total moment (μB per atom)
1,0.000
2,0.000
3,0.000
4,0.000
5,0.000
6,0.000